(1)
TlHgSe2O8: optimized geometry, PBE.

Computed properties:
- total energy (eV per cell) = -55.28
- crystal system = trigonal
- symmetry = R-3 (148)
- theoretical density (Mg/m³) = 6.4
- ΔE_f (raw) (meV/atom) = -497.8

Unit cell a=5.2354 b=5.2354 c=8.1655 alpha=71.30 beta=71.30 gamma=60.00
With the nearest neighbours (Å) after each atom.
Positions (direct):
O  0.8266  0.8266  0.5202  1 Se 1.68
O  0.7057  0.0490  0.8091  1 Se 1.69
O  0.9510  0.5638  0.1909  1 Se 1.69
O  0.5638  0.2943  0.1909  1 Se 1.69
O  0.4362  0.7057  0.8091  1 Se 1.69
O  0.0490  0.4362  0.8091  1 Se 1.69
O  0.2943  0.9510  0.1909  1 Se 1.69
O  0.1734  0.1734  0.4798  1 Se 1.68
Se  0.2472  0.2472  0.2585  4 O 1.68-1.69
Se  0.7528  0.7528  0.7415  4 O 1.68-1.69
Hg  0.0000  0.0000  0.0000  6 O 2.40
Tl  0.5000  0.5000  0.5000  12 O 2.91-3.03


(2)
TlHgSeO5: optimized geometry, PBE.

Computed properties:
- total energy (eV per cell) = -70.76
- crystal system = monoclinic
- symmetry = C2/c (15)
- theoretical density (Mg/m³) = 6.1
- ΔE_f (raw) (meV/atom) = -554.8

Unit cell a=6.5121 b=6.5121 c=8.1480 alpha=107.76 beta=107.76 gamma=94.56
With the nearest neighbours (Å) after each atom.
Positions (direct):
O  0.6822  0.6427  0.3591  1 Se 1.71
O  0.9062  0.0938  0.7500  1 Hg 2.10, 2 Tl 2.23
O  0.7663  0.2962  0.0991  1 Se 1.67
O  0.2337  0.7038  0.9009  1 Se 1.67
O  0.6427  0.6822  0.8591  1 Se 1.71
O  0.3178  0.3573  0.6409  1 Se 1.71
O  0.7038  0.2337  0.4009  1 Se 1.67
O  0.0938  0.9062  0.2500  1 Hg 2.10, 2 Tl 2.23
O  0.3573  0.3178  0.1409  1 Se 1.71
O  0.2962  0.7663  0.5991  1 Se 1.67
Tl  0.0000  0.0000  0.0000  2 O 2.23
Tl  0.0000  0.0000  0.5000  2 O 2.23
Hg  0.6870  0.3130  0.7500  1 O 2.10
Hg  0.3130  0.6870  0.2500  1 O 2.10
Se  0.6354  0.3646  0.2500  4 O 1.67-1.71
Se  0.3646  0.6354  0.7500  4 O 1.67-1.71


(3)
Tl2HgSeO4: optimized geometry, PBE.

Computed properties:
- total energy (eV per cell) = -66.21
- crystal system = orthorhombic
- symmetry = Fddd (70)
- theoretical density (Mg/m³) = 5.3
- ΔE_f (raw) (meV/atom) = -594.2

Unit cell a=8.4299 b=6.5459 c=11.8505 alpha=76.76 beta=69.16 gamma=49.92
With the nearest neighbours (Å) after each atom.
Positions (direct):
Se  0.5000  0.0000  0.0000  4 O 1.69
Se  0.2500  0.5000  0.5000  4 O 1.69
O  0.7580  0.8008  0.9145  1 Se 1.69
O  0.4733  0.1992  0.0855  1 Se 1.69
O  0.3275  0.1992  0.9145  1 Se 1.69
O  0.9920  0.6992  0.5855  1 Se 1.69
O  0.4225  0.3008  0.5855  1 Se 1.69
O  0.2767  0.3008  0.4145  1 Se 1.69
O  0.3088  0.6992  0.4145  1 Se 1.69
O  0.4412  0.8008  0.0855  1 Se 1.69
Tl  0.9628  0.5000  0.0743  2 O 2.59
Tl  0.5372  0.5000  0.9257  2 O 2.59
Tl  0.2128  0.0000  0.5743  2 O 2.59
Tl  0.7872  0.0000  0.4257  2 O 2.59
Hg  0.7500  0.5000  0.5000  4 Tl 3.37, 4 O 3.52
Hg  0.0000  0.0000  0.0000  4 Tl 3.37, 4 O 3.52


(4)
TmHgSe2O8: optimized geometry, PBE.

Computed properties:
- total energy (eV per cell) = -65.71
- crystal system = monoclinic
- symmetry = C2/m (12)
- theoretical density (Mg/m³) = 5.0
- ΔE_f (raw) (meV/atom) = -1192.2

Unit cell a=5.4461 b=5.4461 c=8.1478 alpha=93.39 beta=93.39 gamma=64.57
With the nearest neighbours (Å) after each atom.
Positions (direct):
O  0.3177  0.7856  0.1935  1 Se 1.69
O  0.2144  0.6823  0.8065  1 Se 1.69
O  0.6823  0.2144  0.8065  1 Se 1.69
O  0.7778  0.7778  0.0780  1 Se 1.67
O  0.2651  0.2651  0.5864  1 Se 1.66
O  0.7856  0.3177  0.1935  1 Se 1.69
O  0.7349  0.7349  0.4136  1 Se 1.66
O  0.2222  0.2222  0.9220  1 Se 1.67
Se  0.6582  0.6582  0.2232  4 O 1.66-1.69
Se  0.3418  0.3418  0.7768  4 O 1.66-1.69
Tm  0.0000  0.0000  0.0000  6 O 2.18-2.24
Hg  0.0000  0.0000  0.5000  2 O 2.49


(5)
UHgSe2O8: optimized geometry, PBE.

Computed properties:
- total energy (eV per cell) = -73.05
- crystal system = trigonal
- symmetry = P-3m1 (164)
- theoretical density (Mg/m³) = 5.5
- ΔE_f (raw) (meV/atom) = -1235.8

Unit cell a=6.3310 b=6.3310 c=6.3341 alpha=90.00 beta=90.00 gamma=120.00
With the nearest neighbours (Å) after each atom.
Positions (direct):
O  0.1504  0.3008  0.7948  1 Se 2.02, 1 U 2.10
O  0.6667  0.3333  0.5054  1 Se 1.62
O  0.6992  0.8496  0.7948  1 Se 2.02, 1 U 2.10
O  0.1504  0.8496  0.7948  1 Se 2.02, 1 U 2.10
O  0.8496  0.6992  0.2052  1 Se 2.02, 1 U 2.10
O  0.8496  0.1504  0.2052  1 Se 2.02, 1 U 2.10
O  0.3008  0.1504  0.2052  1 Se 2.02, 1 U 2.10
O  0.3333  0.6667  0.4946  1 Se 1.62
U  0.0000  0.0000  0.0000  6 O 2.10
Se  0.6667  0.3333  0.2490  1 O 1.62
Se  0.3333  0.6667  0.7510  1 O 1.62
Hg  0.0000  0.0000  0.5000  6 O 2.49